No. 1
# Sr2TaZn | the Alexandria database | PBE | relaxed
# crystal system = orthorhombic
# magnetization = 0.78 μB/f.u.
# energy = -14.01 eV per formula unit
# space group = Amm2 (38)
data_Sr2TaZn
_chemical_formula_sum 'Sr4 Ta2 Zn2'
_cell_length_a 4.878
_cell_length_b 3.652
_cell_length_c 13.538
_cell_angle_alpha 90.00
_cell_angle_beta 90.00
_cell_angle_gamma 90.00
_space_group_name_H-M_alt 'P 1'
_space_group_IT_number 1
_space_group_name_Hall 'P 1'
loop_
_atom_site_label
_atom_site_fract_x
_atom_site_fract_y
_atom_site_fract_z
_atom_site_occupancy
Sr1 0.000 0.000 0.000 1
Sr2 0.000 0.500 0.500 1
Sr3 0.500 0.000 0.309 1
Sr4 0.500 0.500 0.809 1
Ta1 0.500 0.000 0.606 1
Ta2 0.500 0.500 0.106 1
Zn1 0.000 0.000 0.697 1
Zn2 0.000 0.500 0.197 1



No. 2
# CaSbOsI2 | the Alexandria database | PBE | relaxed
# crystal system = tetragonal
# excess energy over the best structure of this formula in the dataset = 0 meV per atom
# magnetization = 0.00 μB/f.u.
# energy = -19.55 eV per formula unit
# space group = P4/mmm (123)
# uncorrected formation energy = 0.1814 eV per atom
data_CaSbOsI2
_chemical_formula_sum 'Ca1 Sb1 Os1 I2'
_cell_length_a 5.667
_cell_length_b 5.667
_cell_length_c 5.015
_cell_angle_alpha 90.00
_cell_angle_beta 90.00
_cell_angle_gamma 90.00
_space_group_name_H-M_alt 'P 1'
_space_group_IT_number 1
_space_group_name_Hall 'P 1'
loop_
_atom_site_label
_atom_site_fract_x
_atom_site_fract_y
_atom_site_fract_z
_atom_site_occupancy
Ca1 0.000 0.000 0.000 1
Sb1 0.500 0.500 0.000 1
Os1 0.500 0.500 0.500 1
I1 0.000 0.500 0.500 1
I2 0.500 0.000 0.500 1



No. 3
# KB2N | the Alexandria database | PBE | relaxed
# crystal system = tetragonal
# magnetization = 0.00 μB/f.u.
# energy = -17.31 eV per formula unit
# space group = I-42d (122)
# uncorrected formation energy = 1.3657 eV per atom
data_KB2N
_chemical_formula_sum 'K4 B8 N4'
_cell_length_a 5.322
_cell_length_b 5.322
_cell_length_c 7.256
_cell_angle_alpha 90.00
_cell_angle_beta 90.00
_cell_angle_gamma 90.00
_space_group_name_H-M_alt 'P 1'
_space_group_IT_number 1
_space_group_name_Hall 'P 1'
loop_
_atom_site_label
_atom_site_fract_x
_atom_site_fract_y
_atom_site_fract_z
_atom_site_occupancy
K1 0.000 0.000 0.000 1
K2 0.000 0.500 0.250 1
K3 0.500 0.000 0.750 1
K4 0.500 0.500 0.500 1
B1 0.058 0.750 0.625 1
B2 0.250 0.058 0.375 1
B3 0.250 0.442 0.875 1
B4 0.442 0.750 0.125 1
B5 0.558 0.250 0.125 1
B6 0.750 0.558 0.875 1
B7 0.750 0.942 0.375 1
B8 0.942 0.250 0.625 1
N1 0.000 0.000 0.500 1
N2 0.000 0.500 0.750 1
N3 0.500 0.000 0.250 1
N4 0.500 0.500 0.000 1



No. 4
# AcPtI | the Alexandria database | PBE | relaxed
# crystal system = monoclinic
# excess energy over the best structure of this formula in the dataset = 151 meV per atom
# magnetization = 0.00 μB/f.u.
# energy = -15.19 eV per formula unit
# space group = C2/m (12)
# uncorrected formation energy = -1.1619 eV per atom
data_AcPtI
_chemical_formula_sum 'Ac4 Pt4 I4'
_cell_length_a 7.895
_cell_length_b 4.539
_cell_length_c 13.492
_cell_angle_alpha 90.00
_cell_angle_beta 94.38
_cell_angle_gamma 90.00
_space_group_name_H-M_alt 'P 1'
_space_group_IT_number 1
_space_group_name_Hall 'P 1'
loop_
_atom_site_label
_atom_site_fract_x
_atom_site_fract_y
_atom_site_fract_z
_atom_site_occupancy
Ac1 0.155 0.000 0.330 1
Ac2 0.345 0.500 0.670 1
Ac3 0.655 0.500 0.330 1
Ac4 0.845 0.000 0.670 1
Pt1 0.167 0.000 0.558 1
Pt2 0.333 0.500 0.442 1
Pt3 0.667 0.500 0.558 1
Pt4 0.833 0.000 0.442 1
I1 0.035 0.500 0.835 1
I2 0.465 0.000 0.165 1
I3 0.535 0.000 0.835 1
I4 0.965 0.500 0.165 1



No. 5
# CrC2 | the Alexandria database | PBE | relaxed
# crystal system = cubic
# excess energy over the best structure of this formula in the dataset = 1946 meV per atom
# magnetization = 0.26 μB/f.u.
# energy = -20.75 eV per formula unit
# space group = Fd-3m (227)
data_CrC2
_chemical_formula_sum 'Cr2 C4'
_cell_length_a 4.038
_cell_length_b 4.038
_cell_length_c 4.038
_cell_angle_alpha 60.00
_cell_angle_beta 60.00
_cell_angle_gamma 60.00
_space_group_name_H-M_alt 'P 1'
_space_group_IT_number 1
_space_group_name_Hall 'P 1'
loop_
_atom_site_label
_atom_site_fract_x
_atom_site_fract_y
_atom_site_fract_z
_atom_site_occupancy
Cr1 0.125 0.125 0.125 1
Cr2 0.875 0.875 0.875 1
C1 0.000 0.500 0.500 1
C2 0.500 0.000 0.500 1
C3 0.500 0.500 0.000 1
C4 0.500 0.500 0.500 1



No. 6
# Co2MoP | the Alexandria database | PBE | relaxed
# crystal system = tetragonal
# magnetization = 0.53 μB/f.u.
# energy = -30.84 eV per formula unit
# space group = P4mm (99)
data_Co2MoP
_chemical_formula_sum 'Co2 Mo1 P1'
_cell_length_a 2.820
_cell_length_b 2.820
_cell_length_c 6.049
_cell_angle_alpha 90.00
_cell_angle_beta 90.00
_cell_angle_gamma 90.00
_space_group_name_H-M_alt 'P 1'
_space_group_IT_number 1
_space_group_name_Hall 'P 1'
loop_
_atom_site_label
_atom_site_fract_x
_atom_site_fract_y
_atom_site_fract_z
_atom_site_occupancy
Co1 0.000 0.000 0.000 1
Co2 0.500 0.500 0.277 1
Mo1 0.000 0.000 0.536 1
P1 0.500 0.500 0.830 1



Question: Which formula does entry 2 have?
Answer: CaSbOsI2



Question: Look up the magnetization of the first one.
Answer: 0.78 μB/f.u.



What did the second record say?
# CaSbOsI2 | the Alexandria database | PBE | relaxed
# crystal system = tetragonal
# excess energy over the best structure of this formula in the dataset = 0 meV per atom
# magnetization = 0.00 μB/f.u.
# energy = -19.55 eV per formula unit
# space group = P4/mmm (123)
# uncorrected formation energy = 0.1814 eV per atom
data_CaSbOsI2
_chemical_formula_sum 'Ca1 Sb1 Os1 I2'
_cell_length_a 5.667
_cell_length_b 5.667
_cell_length_c 5.015
_cell_angle_alpha 90.00
_cell_angle_beta 90.00
_cell_angle_gamma 90.00
_space_group_name_H-M_alt 'P 1'
_space_group_IT_number 1
_space_group_name_Hall 'P 1'
loop_
_atom_site_label
_atom_site_fract_x
_atom_site_fract_y
_atom_site_fract_z
_atom_site_occupancy
Ca1 0.000 0.000 0.000 1
Sb1 0.500 0.500 0.000 1
Os1 0.500 0.500 0.500 1
I1 0.000 0.500 0.500 1
I2 0.500 0.000 0.500 1